[1]
Entry from Alexandria via LeMat-Bulk: a geometry-optimized TbPm2Ga2 structure (PBE-GGA).

Unit cell a=5.939 b=3.988 c=12.017 alpha=90.00 beta=92.41 gamma=90.00
Element x y z (fractional)
Tb 0.102 0.250 0.293
Tb 0.898 0.750 0.707
Pm 0.235 0.250 0.935
Pm 0.398 0.250 0.633
Pm 0.602 0.750 0.367
Pm 0.765 0.750 0.065
Ga 0.140 0.750 0.484
Ga 0.269 0.750 0.134
Ga 0.731 0.250 0.866
Ga 0.860 0.250 0.516

Output
Energy above the most stable polymorph in this dataset (meV per atom): 148
V (Å³ per cell): 284
Mass density (Mg/m³): 6.87
DOS(E_F) (states/eV per cell): 9.92
Total magnetic moment (μB per cell): 0.00


[2]
Entry from Alexandria via LeMat-Bulk: a geometry-optimized Tb2PmGa2 structure (PBE-GGA).

Unit cell a=6.553 b=6.553 c=5.887 alpha=102.31 beta=102.31 gamma=33.44
Element x y z (fractional)
Tb 0.138 0.138 0.069
Tb 0.862 0.862 0.931
Pm 0.500 0.500 0.500
Ga 0.206 0.206 0.611
Ga 0.794 0.794 0.389

Output
Energy above the most stable polymorph in this dataset (meV per atom): 107
V (Å³ per cell): 136
Mass density (Mg/m³): 7.36
DOS(E_F) (states/eV per cell): 5.61
Total magnetic moment (μB per cell): 0.00


[3]
Entry from Alexandria via LeMat-Bulk: a geometry-optimized TbPmTmGa structure (PBE-GGA).

Unit cell a=5.347 b=5.347 c=5.347 alpha=60.00 beta=60.00 gamma=60.00
Element x y z (fractional)
Tb 0.000 0.000 0.000
Pm 0.500 0.500 0.500
Tm 0.250 0.250 0.250
Ga 0.750 0.750 0.750

Output
V (Å³ per cell): 108
Mass density (Mg/m³): 8.33
Energy (eV per atom): -4.323
DOS(E_F) (states/eV per cell): 6.99
Total magnetic moment (μB per cell): 0.33


[4]
Entry from Alexandria via LeMat-Bulk: a geometry-optimized Tb2PmZn2Ga2 structure (PBE-GGA).

Unit cell a=9.655 b=9.655 c=9.655 alpha=26.77 beta=26.77 gamma=26.77
Element x y z (fractional)
Tb 0.128 0.128 0.128
Tb 0.872 0.872 0.872
Pm 0.000 0.000 0.000
Zn 0.401 0.401 0.401
Zn 0.599 0.599 0.599
Ga 0.260 0.260 0.260
Ga 0.740 0.740 0.740

Output
V (Å³ per cell): 161
Mass density (Mg/m³): 7.56
Energy (eV per atom): -3.638
DOS(E_F) (states/eV per cell): 3.38
Total magnetic moment (μB per cell): 0.00


[5]
Entry from Alexandria via LeMat-Bulk: a geometry-optimized TbPmZn2Ga2 structure (PBE-GGA).

Unit cell a=4.448 b=4.448 c=7.387 alpha=90.00 beta=90.00 gamma=120.00
Element x y z (fractional)
Tb 0.000 0.000 0.000
Pm 0.000 0.000 0.500
Zn 0.333 0.667 0.766
Zn 0.667 0.333 0.234
Ga 0.333 0.667 0.239
Ga 0.667 0.333 0.761

Output
V (Å³ per cell): 127
Mass density (Mg/m³): 7.53
Energy (eV per atom): -3.564
DOS(E_F) (states/eV per cell): 3.19
Total magnetic moment (μB per cell): 0.00


[6]
Entry from Alexandria via LeMat-Bulk: a geometry-optimized TbPmZnGa structure (PBE-GGA).

Unit cell a=5.135 b=5.135 c=5.135 alpha=60.00 beta=60.00 gamma=60.00
Element x y z (fractional)
Tb 0.000 0.000 0.000
Pm 0.500 0.500 0.500
Zn 0.750 0.750 0.750
Ga 0.250 0.250 0.250

Output
V (Å³ per cell): 96
Mass density (Mg/m³): 7.61
Energy (eV per atom): -3.884
DOS(E_F) (states/eV per cell): 3.81
Total magnetic moment (μB per cell): 0.00